(1)
Density functional theory data (PBE) for an optimized crystal structure of AcPm2Sn2Hg2.

Values from the calculation:
Total energy (eV/atom): -3.5672
Energy of formation (eV per atom): -0.3931

Cell: 9.8873 9.8873 9.8873 Å, 29.82 29.82 29.82°
Last column: nearest neighbours and their distance in Å.
Sites, in units of the cell vectors:
Ac1 0.0000 0.0000 0.0000  6 Sn 3.53, 2 Pm 3.75
Pm1 0.1324 0.1324 0.1324  3 Hg 3.09, 3 Sn 3.44
Pm2 0.8676 0.8676 0.8676  3 Hg 3.09, 3 Sn 3.44
Sn1 0.2644 0.2644 0.2644  3 Hg 3.06
Sn2 0.7356 0.7356 0.7356  3 Hg 3.06
Hg1 0.4322 0.4322 0.4322  3 Sn 3.06, 3 Pm 3.09
Hg2 0.5678 0.5678 0.5678  3 Sn 3.06, 3 Pm 3.09



(2)
Density functional theory data (PBE) for an optimized crystal structure of AcTb2PmHg4.

Values from the calculation:
Total energy (eV/atom): -2.8656
Energy of formation (eV per atom): -0.4498

Cell: 9.5129 9.5129 9.5129 Å, 33.00 33.00 33.00°
Last column: nearest neighbours and their distance in Å.
Sites, in units of the cell vectors:
Ac1 0.0000 0.0000 0.0000  8 Hg 3.37-3.44
Tb1 0.2471 0.2471 0.2471  8 Hg 3.22-3.61
Tb2 0.7529 0.7529 0.7529  8 Hg 3.22-3.61
Pm1 0.5000 0.5000 0.5000  8 Hg 3.21-3.29
Hg1 0.1276 0.1276 0.1276  4 Tb 3.22-3.31, 3 Pm 3.29, 1 Ac 3.44
Hg2 0.3808 0.3808 0.3808  1 Pm 3.21, 3 Tb 3.29, 3 Ac 3.37
Hg3 0.6192 0.6192 0.6192  1 Pm 3.21, 3 Tb 3.29, 3 Ac 3.37
Hg4 0.8724 0.8724 0.8724  4 Tb 3.22-3.31, 3 Pm 3.29, 1 Ac 3.44



(3)
Density functional theory data (PBE) for an optimized crystal structure of AcPmHgTe.

Values from the calculation:
Energy relative to the elements, uncorrected (eV/atom): -0.724
Total energy (eV/atom): -3.7996

Cell: 5.6028 5.6028 5.6028 Å, 60.00 60.00 60.00°
Last column: nearest neighbours and their distance in Å.
Sites, in units of the cell vectors:
Ac1 0.0000 0.0000 0.0000  4 Hg 3.43, 4 Te 3.43
Pm1 0.5000 0.5000 0.5000  4 Hg 3.43, 4 Te 3.43
Hg1 0.7500 0.7500 0.7500  4 Ac 3.43, 4 Pm 3.43
Te1 0.2500 0.2500 0.2500  4 Pm 3.43, 4 Ac 3.43



(4)
Density functional theory data (PBE) for an optimized crystal structure of AcPmThHg.

Values from the calculation:
Total energy (eV/atom): -4.0531
Energy of formation (eV per atom): 0.0921

Cell: 5.6487 5.6487 5.6487 Å, 60.00 60.00 60.00°
Last column: nearest neighbours and their distance in Å.
Sites, in units of the cell vectors:
Ac1 0.0000 0.0000 0.0000  4 Th 3.46, 4 Pm 3.46
Pm1 0.2500 0.2500 0.2500  4 Hg 3.46, 4 Ac 3.46
Th1 0.7500 0.7500 0.7500  4 Hg 3.46, 4 Ac 3.46
Hg1 0.5000 0.5000 0.5000  4 Th 3.46, 4 Pm 3.46



(5)
Density functional theory data (PBE) for an optimized crystal structure of AcPmTlHg.

Values from the calculation:
Total energy (eV/atom): -3.2936
ΔE to the lowest computed polymorph (meV per atom): 0
Energy of formation (eV per atom): -0.4118

Cell: 3.9513 3.9513 8.0193 Å, 90.00 90.00 90.00°
Last column: nearest neighbours and their distance in Å.
Sites, in units of the cell vectors:
Ac1 0.0000 0.0000 0.0000  4 Hg 3.54, 4 Tl 3.58, 1 Pm 3.88, 4 Ac 3.95
Pm1 0.0000 0.0000 0.4833  4 Hg 3.27, 4 Tl 3.38
Tl1 0.5000 0.5000 0.7202  4 Pm 3.38, 4 Ac 3.58, 1 Hg 3.61
Hg1 0.5000 0.5000 0.2704  4 Pm 3.27, 4 Ac 3.54, 1 Tl 3.61



(6)
Density functional theory data (PBE) for an optimized crystal structure of AcPm2Tl2Hg2.

Values from the calculation:
Total energy (eV/atom): -2.9770
Energy of formation (eV per atom): -0.2704

Cell: 9.8598 9.8598 9.8598 Å, 30.00 30.00 30.00°
Last column: nearest neighbours and their distance in Å.
Sites, in units of the cell vectors:
Ac1 0.0000 0.0000 0.0000  6 Tl 3.51, 2 Pm 3.82
Pm1 0.1352 0.1352 0.1352  3 Hg 3.08, 3 Pm 3.44
Pm2 0.8648 0.8648 0.8648  3 Hg 3.08, 3 Pm 3.44
Tl1 0.2660 0.2660 0.2660  3 Hg 3.12
Tl2 0.7340 0.7340 0.7340  3 Hg 3.12
Hg1 0.4369 0.4369 0.4369  3 Pm 3.08, 3 Tl 3.12
Hg2 0.5631 0.5631 0.5631  3 Pm 3.08, 3 Tl 3.12



(7)
Density functional theory data (PBE) for an optimized crystal structure of AcPmTlHg.

Values from the calculation:
Total energy (eV/atom): -3.2745
ΔE to the lowest computed polymorph (meV per atom): 19
Energy of formation (eV per atom): -0.3927

Cell: 5.6321 5.6321 5.6321 Å, 60.00 60.00 60.00°
Last column: nearest neighbours and their distance in Å.
Sites, in units of the cell vectors:
Ac1 0.0000 0.0000 0.0000  4 Tl 3.45, 4 Hg 3.45
Pm1 0.5000 0.5000 0.5000  4 Hg 3.45, 4 Tl 3.45
Tl1 0.7500 0.7500 0.7500  4 Pm 3.45, 4 Ac 3.45
Hg1 0.2500 0.2500 0.2500  4 Pm 3.45, 4 Ac 3.45



(8)
Density functional theory data (PBE) for an optimized crystal structure of AcPmTm2Hg4.

Values from the calculation:
Total energy (eV/atom): -2.8138
Energy of formation (eV per atom): -0.4376

Cell: 9.5245 9.5245 9.5245 Å, 32.62 32.62 32.62°
Last column: nearest neighbours and their distance in Å.
Sites, in units of the cell vectors:
Ac1 0.0000 0.0000 0.0000  8 Hg 3.36-3.44
Pm1 0.5000 0.5000 0.5000  8 Hg 3.18-3.27
Tm1 0.2462 0.2462 0.2462  7 Hg 3.21-3.27
Tm2 0.7538 0.7538 0.7538  7 Hg 3.21-3.27
Hg1 0.1274 0.1274 0.1274  4 Tm 3.21-3.27, 3 Pm 3.27, 1 Ac 3.44
Hg2 0.3823 0.3823 0.3823  1 Pm 3.18, 3 Tm 3.26, 3 Ac 3.36
Hg3 0.6177 0.6177 0.6177  1 Pm 3.18, 3 Tm 3.26, 3 Ac 3.36
Hg4 0.8726 0.8726 0.8726  4 Tm 3.21-3.27, 3 Pm 3.27, 1 Ac 3.44



(9)
Density functional theory data (PBE) for an optimized crystal structure of AcPmTmHg.

Values from the calculation:
Total energy (eV/atom): -3.3584
Energy of formation (eV per atom): 0.0497

Cell: 5.6002 5.6002 5.6002 Å, 60.00 60.00 60.00°
Last column: nearest neighbours and their distance in Å.
Sites, in units of the cell vectors:
Ac1 0.0000 0.0000 0.0000  4 Tm 3.43, 4 Pm 3.43
Pm1 0.2500 0.2500 0.2500  4 Hg 3.43, 4 Ac 3.43
Tm1 0.7500 0.7500 0.7500  4 Hg 3.43, 4 Ac 3.43
Hg1 0.5000 0.5000 0.5000  4 Tm 3.43, 4 Pm 3.43



(10)
Density functional theory data (PBE) for an optimized crystal structure of AcPmYHg.

Values from the calculation:
Total energy (eV/atom): -3.8836
Energy of formation (eV per atom): 0.0226

Cell: 5.6288 5.6288 5.6288 Å, 60.00 60.00 60.00°
Last column: nearest neighbours and their distance in Å.
Sites, in units of the cell vectors:
Ac1 0.0000 0.0000 0.0000  4 Pm 3.45, 4 Y 3.45
Pm1 0.7500 0.7500 0.7500  4 Hg 3.45, 4 Ac 3.45
Y1 0.2500 0.2500 0.2500  4 Hg 3.45, 4 Ac 3.45
Hg1 0.5000 0.5000 0.5000  4 Pm 3.45, 4 Y 3.45



(11)
Density functional theory data (PBE) for an optimized crystal structure of Ac3Pr12Hg.

Values from the calculation:
Total energy (eV/atom): -4.3863
Energy of formation (eV per atom): -0.0124

Cell: 5.2562 5.2562 21.0313 Å, 90.00 90.00 90.00°
Last column: nearest neighbours and their distance in Å.
Sites, in units of the cell vectors:
Ac1 0.0000 0.0000 0.0000  12 Pr 3.72-3.77
Ac2 0.0000 0.0000 0.2569  12 Pr 3.72-3.77
Ac3 0.0000 0.0000 0.7431  12 Pr 3.72-3.77
Pr1 0.0000 0.5000 0.1285  8 Pr 3.72-3.82, 4 Ac 3.77
Pr2 0.0000 0.5000 0.3851  2 Hg 3.57, 8 Pr 3.57-3.72, 2 Ac 3.76
Pr3 0.0000 0.5000 0.6149  2 Hg 3.57, 8 Pr 3.57-3.72, 2 Ac 3.76
Pr4 0.0000 0.5000 0.8715  8 Pr 3.72-3.82, 4 Ac 3.77
Pr5 0.5000 0.0000 0.1285  8 Pr 3.72-3.82, 4 Ac 3.77
Pr6 0.5000 0.0000 0.3851  2 Hg 3.57, 8 Pr 3.57-3.72, 2 Ac 3.76
Pr7 0.5000 0.0000 0.6149  2 Hg 3.57, 8 Pr 3.57-3.72, 2 Ac 3.76
Pr8 0.5000 0.0000 0.8715  8 Pr 3.72-3.82, 4 Ac 3.77
Pr9 0.5000 0.5000 0.0000  4 Ac 3.72, 8 Pr 3.77
Pr10 0.5000 0.5000 0.2606  8 Pr 3.71-3.82, 4 Ac 3.72
Pr11 0.5000 0.5000 0.5000  8 Pr 3.57, 4 Hg 3.72
Pr12 0.5000 0.5000 0.7394  8 Pr 3.71-3.82, 4 Ac 3.72
Hg1 0.0000 0.0000 0.5000  12 Pr 3.57-3.72



(12)
Density functional theory data (PBE) for an optimized crystal structure of AcPr2Hg2.

Values from the calculation:
Total energy (eV/atom): -3.1366
ΔE to the lowest computed polymorph (meV per atom): 0
Energy of formation (eV per atom): -0.2824

Cell: 10.8367 10.8367 3.8962 Å, 90.00 90.00 158.78°
Last column: nearest neighbours and their distance in Å.
Sites, in units of the cell vectors:
Ac1 0.0000 0.0000 0.0000  8 Hg 3.50, 2 Pr 3.84, 2 Ac 3.90
Pr1 0.1803 0.8197 0.0000  4 Hg 3.28, 2 Pr 3.58
Pr2 0.8197 0.1803 0.0000  4 Hg 3.28, 2 Pr 3.58
Hg1 0.4003 0.5997 0.5000  4 Pr 3.28, 4 Ac 3.50
Hg2 0.5997 0.4003 0.5000  4 Pr 3.28, 4 Ac 3.50



The highest total energy belongs to which entry?
AcPmTm2Hg4